# K2CaGeSb

A relaxed K2CaGeSb crystal (PBE, the Alexandria database).

Geometry as extended XYZ:
```
5
Lattice="-1.699 3.982 -5.315 -4.233 -3.497 -1.266 -4.193 3.611 4.046" Properties=species:S:1:pos:R:3 pbc="T T T"
Ge -5.063 2.048 -1.268
K -0.850 1.991 -2.658
Ca 0.000 0.000 0.000
Sb -2.117 -1.748 -0.633
K -2.097 1.806 2.023
```

raw formation energy: 0.5230 eV per atom
total DFT energy (no corrections): -2.06 eV per atom
space group: No. 123


# KSr2CaGe

A relaxed KSr2CaGe crystal (PBE, the Alexandria database).

Geometry as extended XYZ:
```
5
Lattice="6.307 0.000 0.000 0.000 6.307 0.000 0.000 0.000 5.948" Properties=species:S:1:pos:R:3 pbc="T T T"
Sr 0.000 3.154 0.000
Sr 3.154 0.000 0.000
Ge 0.000 0.000 0.000
K 3.154 3.154 2.974
Ca 0.000 0.000 2.974
```

formation energy from the elements: -192 meV per atom
total DFT energy (no corrections): -2.41 eV per atom
space group: No. 123


# KCaZrGe2

A relaxed KCaZrGe2 crystal (PBE, the Alexandria database).

Geometry as extended XYZ:
```
5
Lattice="5.493 0.000 0.000 0.000 4.989 0.000 0.000 0.000 5.493" Properties=species:S:1:pos:R:3 pbc="T T T"
Ge 2.746 0.000 0.000
Zr 0.000 2.495 0.000
K 0.000 0.000 0.000
Ge 0.000 0.000 2.746
Ca 2.746 2.495 2.746
```

formation energy from the elements: 1276 meV per atom
total DFT energy (no corrections): -2.90 eV per atom
space group: No. 123


# CaLaGe3

A relaxed CaLaGe3 crystal (PBE, the Alexandria database).

Geometry as extended XYZ:
```
10
Lattice="4.094 0.000 0.000 0.000 4.331 -0.828 0.000 0.402 13.841" Properties=species:S:1:pos:R:3 pbc="T T T"
Ge 1.023 2.428 12.696
Ca 1.023 3.685 7.533
Ge 3.070 2.305 0.317
Ge 1.023 3.098 4.465
La 1.023 0.383 2.005
Ge 3.070 1.634 8.548
Ge 3.070 2.802 2.918
Ca 3.070 1.048 5.480
La 3.070 4.349 11.008
Ge 1.023 1.930 10.095
```

formation energy from the elements: -659 meV per atom
total DFT energy (no corrections): -4.82 eV per atom
space group: No. 63